NpCuTe2: relaxed, PBE.

Computed properties:
As for the space-group type: Pnma. Its raw formation energy is -1.83 eV per formula unit. For the total energy, the calculation gives -100.6 eV/cell.

abc: 8.908 4.097 11.727
angles: 90.00 90.00 90.00
Positions (direct):
Np: 0.221 0.250 0.185
Np: 0.279 0.750 0.685
Np: 0.721 0.250 0.315
Np: 0.779 0.750 0.815
Cu: 0.045 0.250 0.940
Cu: 0.455 0.750 0.440
Cu: 0.545 0.250 0.560
Cu: 0.955 0.750 0.060
Te: 0.009 0.250 0.719
Te: 0.230 0.750 0.971
Te: 0.270 0.250 0.471
Te: 0.491 0.750 0.219
Te: 0.509 0.250 0.781
Te: 0.730 0.750 0.529
Te: 0.770 0.250 0.029
Te: 0.991 0.750 0.281